The following is a GGA-PBE calculation of a relaxed structure of VRe2B2, from the Alexandria database.

```
data_VRe2B2
_space_group_name_H-M_alt 'P 4/m b m'
_space_group_IT_number 127
_space_group_name_Hall '-P 4 2ab'
_cell_length_a 5.9873
_cell_length_b 5.9873
_cell_length_c 2.9900
_cell_angle_alpha 90.00
_cell_angle_beta 90.00
_cell_angle_gamma 90.00
loop_
_atom_site_label
_atom_site_type_symbol
_atom_site_fract_x
_atom_site_fract_y
_atom_site_fract_z
V1 V 0.0000 0.0000 0.0000
Re1 Re 0.1632 0.3368 0.5000
B1 B 0.1292 0.6292 0.0000
```

- distance to the lowest polymorph of the same formula (meV/atom) = 0

=====

The following is a GGA-PBE calculation of a relaxed structure of VReB3, from the Alexandria database.

```
data_VReB3
_space_group_name_H-M_alt 'P m -3 m'
_space_group_IT_number 221
_space_group_name_Hall '-P 4 2 3'
_cell_length_a 4.0525
_cell_length_b 4.0525
_cell_length_c 4.0525
_cell_angle_alpha 90.00
_cell_angle_beta 90.00
_cell_angle_gamma 90.00
loop_
_atom_site_label
_atom_site_type_symbol
_atom_site_fract_x
_atom_site_fract_y
_atom_site_fract_z
V1 V 0.0000 0.0000 0.0000
Re1 Re 0.5000 0.5000 0.5000
B1 B 0.0000 0.5000 0.5000
```

- distance to the lowest polymorph of the same formula (meV/atom) = 1284

=====

The following is a GGA-PBE calculation of a relaxed structure of VRe2B, from the Alexandria database.

```
data_VRe2B
_space_group_name_H-M_alt 'R -3 m'
_space_group_IT_number 166
_space_group_name_Hall '-R 3 2"'
_cell_length_a 2.8273
_cell_length_b 2.8273
_cell_length_c 23.3418
_cell_angle_alpha 90.00
_cell_angle_beta 90.00
_cell_angle_gamma 120.00
loop_
_atom_site_label
_atom_site_type_symbol
_atom_site_fract_x
_atom_site_fract_y
_atom_site_fract_z
V1 V 0.0000 0.0000 0.0000
Re1 Re 0.0000 0.0000 0.1041
B1 B 0.0000 0.0000 0.5000
```

- raw total energy (eV/atom) = -9.71

=====

Number 1: theoretical density 13.79 g/cm3, DOS at the Fermi energy 7.1 states/eV/cell, spin magnetization 0.00 Bohr magnetons per cell. Number 2: theoretical density 6.73 g/cm3, DOS at the Fermi energy 3.7 states/eV/cell, spin magnetization 2.72 Bohr magnetons per cell. Number 3: theoretical density 13.39 g/cm3, DOS at the Fermi energy 13.9 states/eV/cell, spin magnetization 0.00 Bohr magnetons per cell.